LiBeAs | meta-GGA SCAN | PBEsol geometry

DFT formation energy: -0.57 eV/atom

Structure (CIF):
```
data_LiBeAs
_chemical_formula_sum 'Li2 Be2 As2'
_symmetry_space_group_name_H-M 'P 4/n m m'
_symmetry_Int_Tables_number 129
_cell_length_a 3.715
_cell_length_b 3.715
_cell_length_c 6.150
_cell_angle_alpha 90.00
_cell_angle_beta 90.00
_cell_angle_gamma 90.00
loop_
_symmetry_equiv_pos_as_xyz
'x,y,z'
'-x,-y,-z'
'-y+1/2,x,z'
'y+1/2,-x,-z'
'-x+1/2,-y+1/2,z'
'x+1/2,y+1/2,-z'
'y,-x+1/2,z'
'-y,x+1/2,-z'
'x+1/2,-y,-z'
'-x+1/2,y,z'
'-y,-x,-z'
'y,x,z'
'-x,y+1/2,-z'
'x,-y+1/2,z'
'y+1/2,x+1/2,-z'
'-y+1/2,-x+1/2,z'
loop_
_atom_site_label
_atom_site_fract_x
_atom_site_fract_y
_atom_site_fract_z
_atom_site_occupancy
Li1 0.250 0.250 0.154 1
Be1 0.250 0.750 0.500 1
As1 0.250 0.250 0.726 1
```